No. 1
A relaxed structure of LaZrCd2Au4, computed with GGA-PBE.

Lattice parameters (Å, degrees): 4.973 4.973 6.925 90.00 90.00 90.00
Space group P4/mmm (No. 123)
Inequivalent atoms, fractional coordinates:
La: 0.000 0.000 0.000 x1
Zr: 0.500 0.500 0.500 x1
Cd: 0.000 0.000 0.500 x1
Cd: 0.500 0.500 0.000 x1
Au: 0.000 0.500 0.275 x4

Calculated values
The calculation puts the volume at 171 Å³/f.u. The crystal system is tetragonal. The value obtained for the formation energy is -0.55 eV/atom.

---

No. 2
A relaxed structure of LiCd2Au, computed with GGA-PBE.

Lattice parameters (Å, degrees): 4.669 4.669 6.754 90.00 90.00 90.00
Space group I4/mmm (No. 139)
Inequivalent atoms, fractional coordinates:
Li: 0.000 0.000 0.000 x2
Cd: 0.000 0.500 0.250 x4
Au: 0.000 0.000 0.500 x2

Calculated values
The calculation puts the volume at 74 Å³/f.u. The crystal system is tetragonal. The calculation puts the total energy at -2.0919 eV per atom.

---

No. 3
A relaxed structure of Li2CdAu2, computed with GGA-PBE.

Lattice parameters (Å, degrees): 7.446 7.446 3.116 90.00 90.00 90.00
Space group P4/mbm (No. 127)
Inequivalent atoms, fractional coordinates:
Li: 0.158 0.342 0.000 x4
Cd: 0.000 0.000 0.500 x2
Au: 0.138 0.638 0.500 x4

Calculated values
The calculation puts the volume at 86 Å³/f.u. The crystal system is tetragonal. The calculation puts the total energy at -2.6878 eV per atom.

---

No. 4
A relaxed structure of Li2CdAu, computed with GGA-PBE.

Lattice parameters (Å, degrees): 6.455 6.455 6.455 90.00 90.00 90.00
Space group F-43m (No. 216)
Inequivalent atoms, fractional coordinates:
Li: 0.000 0.000 0.000 x4
Li: 0.250 0.250 0.250 x4
Cd: 0.250 0.250 0.750 x4
Au: 0.000 0.000 0.500 x4

Calculated values
The calculation puts the volume at 67 Å³/f.u. The crystal system is cubic. The calculation puts the total energy at -2.4103 eV per atom.

---

No. 5
A relaxed structure of LiCdAu2, computed with GGA-PBE.

Lattice parameters (Å, degrees): 4.5961 4.5961 8.2958 90.00 90.00 120.00
Space group P6_3/mmc (No. 194)
Inequivalent atoms, fractional coordinates:
Li: 0.0000 0.0000 0.2500 x2
Cd: 0.3333 0.6667 0.2500 x2
Au: 0.3333 0.6667 0.5839 x4

Calculated values
The calculation puts the volume at 76 Å³/f.u. The crystal system is hexagonal. The calculation puts the total energy at -2.5994 eV per atom.

---

No. 6
A relaxed structure of LiCd2Au, computed with GGA-PBE.

Lattice parameters (Å, degrees): 4.4737 4.4737 9.0568 90.00 90.00 120.00
Space group P6_3/mmc (No. 194)
Inequivalent atoms, fractional coordinates:
Li: 0.3333 0.6667 0.2500 x2
Cd: 0.3333 0.6667 0.5831 x4
Au: 0.0000 0.0000 0.2500 x2

Calculated values
The calculation puts the volume at 78 Å³/f.u. The crystal system is hexagonal. The calculation puts the total energy at -1.9704 eV per atom.

---

No. 7
A relaxed structure of LiCdAu2, computed with GGA-PBE.

Lattice parameters (Å, degrees): 6.550 6.550 6.550 90.00 90.00 90.00
Space group F-43m (No. 216)
Inequivalent atoms, fractional coordinates:
Li: 0.000 0.000 0.000 x4
Cd: 0.250 0.250 0.250 x4
Au: 0.000 0.000 0.500 x4
Au: 0.250 0.250 0.750 x4

Calculated values
The calculation puts the volume at 70 Å³/f.u. The crystal system is cubic. The calculation puts the total energy at -2.6937 eV per atom.

---

No. 8
A relaxed structure of Li2CdAu, computed with GGA-PBE.

Lattice parameters (Å, degrees): 7.442 7.157 5.315 90.00 90.00 90.00
Space group Pnma (No. 62)
Inequivalent atoms, fractional coordinates:
Li: 0.192 0.056 0.102 x8
Cd: 0.033 0.250 0.605 x4
Au: 0.103 0.750 0.896 x4

Calculated values
The calculation puts the volume at 71 Å³/f.u. The crystal system is orthorhombic. The calculation puts the total energy at -2.3539 eV per atom.

---

No. 9
A relaxed structure of Li2CdAu, computed with GGA-PBE.

Lattice parameters (Å, degrees): 3.228 3.228 6.238 90.00 90.00 90.00
Space group P4/mmm (No. 123)
Inequivalent atoms, fractional coordinates:
Li: 0.000 0.000 0.224 x2
Cd: 0.500 0.500 0.500 x1
Au: 0.500 0.500 0.000 x1

Calculated values
The calculation puts the volume at 65 Å³/f.u. The crystal system is tetragonal. The calculation puts the total energy at -2.4124 eV per atom.

---

No. 10
A relaxed structure of LiCdAu2, computed with GGA-PBE.

Lattice parameters (Å, degrees): 4.7429 4.7429 8.0934 90.00 90.00 120.00
Space group P6_3/mmc (No. 194)
Inequivalent atoms, fractional coordinates:
Li: 0.3333 0.6667 0.2500 x2
Cd: 0.0000 0.0000 0.0000 x2
Au: 0.3333 0.6667 0.5785 x4

Calculated values
The calculation puts the volume at 79 Å³/f.u. The crystal system is hexagonal. The calculation puts the total energy at -2.6600 eV per atom.

---

No. 11
A relaxed structure of Li2CdAu, computed with GGA-PBE.

Lattice parameters (Å, degrees): 4.518 6.237 4.526 90.00 90.00 90.00
Space group Pmmn (No. 59, origin choice 2)
Inequivalent atoms, fractional coordinates:
Li: 0.250 0.000 0.243 x4
Cd: 0.250 0.250 0.743 x2
Au: 0.250 0.750 0.746 x2

Calculated values
The calculation puts the volume at 64 Å³/f.u. The crystal system is orthorhombic. The calculation puts the total energy at -2.4249 eV per atom.

---

No. 12
A relaxed structure of LiCd2Au, computed with GGA-PBE.

Lattice parameters (Å, degrees): 6.621 6.621 6.621 90.00 90.00 90.00
Space group F-43m (No. 216)
Inequivalent atoms, fractional coordinates:
Li: 0.000 0.000 0.000 x4
Cd: 0.000 0.000 0.500 x4
Cd: 0.250 0.250 0.750 x4
Au: 0.250 0.250 0.250 x4

Calculated values
The calculation puts the volume at 73 Å³/f.u. The crystal system is cubic. The calculation puts the total energy at -2.0422 eV per atom.

---

No. 13
A relaxed structure of LiCdAu2, computed with GGA-PBE.

Lattice parameters (Å, degrees): 6.022 7.743 6.043 90.00 90.00 90.00
Space group Imma (No. 74)
Inequivalent atoms, fractional coordinates:
Li: 0.000 0.250 0.000 x4
Cd: 0.000 0.250 0.499 x4
Au: 0.250 0.001 0.750 x8

Calculated values
The calculation puts the volume at 70 Å³/f.u. The crystal system is orthorhombic. The calculation puts the total energy at -2.7213 eV per atom.

---

No. 14
A relaxed structure of LiCdAu2, computed with GGA-PBE.

Lattice parameters (Å, degrees): 3.269 3.269 6.496 90.00 90.00 90.00
Space group P4/mmm (No. 123)
Inequivalent atoms, fractional coordinates:
Li: 0.000 0.000 0.000 x1
Cd: 0.000 0.000 0.500 x1
Au: 0.500 0.500 0.221 x2

Calculated values
The calculation puts the volume at 69 Å³/f.u. The crystal system is tetragonal. The calculation puts the total energy at -2.7092 eV per atom.

---

No. 15
A relaxed structure of LiCdAu2, computed with GGA-PBE.

Lattice parameters (Å, degrees): 4.631 4.631 6.590 90.00 90.00 90.00
Space group I4/mmm (No. 139)
Inequivalent atoms, fractional coordinates:
Li: 0.000 0.000 0.000 x2
Cd: 0.000 0.000 0.500 x2
Au: 0.000 0.500 0.250 x4

Calculated values
The calculation puts the volume at 71 Å³/f.u. The crystal system is tetragonal. The calculation puts the total energy at -2.7133 eV per atom.

---

No. 16
A relaxed structure of Li8Cd2Au, computed with GGA-PBE.

Lattice parameters (Å, degrees): 7.850 4.523 10.590 90.00 104.49 90.00
Space group C2/m (No. 12)
Inequivalent atoms, fractional coordinates:
Li: 0.086 0.000 0.259 x4
Li: 0.140 0.500 0.919 x4
Li: 0.179 0.000 0.537 x4
Li: 0.227 0.500 0.181 x4
Cd: 0.048 0.500 0.643 x4
Au: 0.000 0.000 0.000 x2

Calculated values
The calculation puts the volume at 182 Å³/f.u. The crystal system is monoclinic. The calculation puts the total energy at -2.1090 eV per atom.

---

No. 17
A relaxed structure of Li2CdAu, computed with GGA-PBE.

Lattice parameters (Å, degrees): 4.254 4.254 3.600 90.00 90.00 90.00
Space group P4/mmm (No. 123)
Inequivalent atoms, fractional coordinates:
Li: 0.000 0.500 0.000 x2
Cd: 0.000 0.000 0.500 x1
Au: 0.500 0.500 0.500 x1

Calculated values
The calculation puts the volume at 65 Å³/f.u. The crystal system is tetragonal. The calculation puts the total energy at -2.4117 eV per atom.

---

No. 18
A relaxed structure of Li2CdAu, computed with GGA-PBE.

Lattice parameters (Å, degrees): 4.468 4.468 6.402 90.00 90.00 90.00
Space group I4/mmm (No. 139)
Inequivalent atoms, fractional coordinates:
Li: 0.000 0.500 0.250 x4
Cd: 0.000 0.000 0.000 x2
Au: 0.000 0.000 0.500 x2

Calculated values
The calculation puts the volume at 64 Å³/f.u. The crystal system is tetragonal. The calculation puts the total energy at -2.4251 eV per atom.

---

No. 19
A relaxed structure of LiCdAu2, computed with GGA-PBE.

Lattice parameters (Å, degrees): 4.5290 4.5290 8.4943 90.00 90.00 120.00
Space group P6_3/mmc (No. 194)
Inequivalent atoms, fractional coordinates:
Li: 0.0000 0.0000 0.0000 x2
Cd: 0.3333 0.6667 0.2500 x2
Au: 0.3333 0.6667 0.5852 x4

Calculated values
The calculation puts the volume at 75 Å³/f.u. The crystal system is hexagonal. The calculation puts the total energy at -2.7101 eV per atom.

---

No. 20
A relaxed structure of LiCd2Au, computed with GGA-PBE.

Lattice parameters (Å, degrees): 4.257 4.257 4.094 90.00 90.00 90.00
Space group P4/mmm (No. 123)
Inequivalent atoms, fractional coordinates:
Li: 0.000 0.000 0.000 x1
Cd: 0.000 0.500 0.500 x2
Au: 0.500 0.500 0.000 x1

Calculated values
The calculation puts the volume at 74 Å³/f.u. The crystal system is tetragonal. The calculation puts the total energy at -2.0555 eV per atom.